This record from Alexandria via LeMat-Bulk describes a relaxed Li2AlBr crystal. The functional is PBE.

Its crystal system is cubic. The calculated total energy comes out at -2.406 eV per atom. The energy above the most stable polymorph in this dataset is 433 meV/atom.

Unit cell a=7.0433 b=7.0433 c=7.0433 alpha=90.00 beta=90.00 gamma=90.00
Last column: nearest neighbours and their distance in Å.
Space group Fm-3m (No. 225)
Inequivalent atoms, fractional coordinates:
Li (0.2500, 0.2500, 0.2500) [8 per cell]  4 Al 3.05, 4 Br 3.05
Al (0.0000, 0.0000, 0.0000) [4 per cell]  8 Li 3.05
Br (0.0000, 0.0000, 0.5000) [4 per cell]  8 Li 3.05